Record 1
Y4Er3Rh4 | PBE | relaxed

Lattice parameters (Å, degrees): 3.6462 8.9421 9.3385 118.61 101.26 90.00
Closest atoms and distances in Å follow each position.
Atoms (fractional coordinates):
Y (0.3355, 0.1495, 0.6710)  4 Rh 2.78-3.08
Y (0.6645, 0.4786, 0.3290)  4 Rh 2.78-3.08
Y (0.6645, 0.8505, 0.3290)  4 Rh 2.78-3.08
Y (0.3355, 0.5214, 0.6710)  4 Rh 2.78-3.08
Er (0.1014, 0.1014, 0.2028)  6 Rh 2.91-3.09, 1 Er 3.24
Er (0.8986, 0.8986, 0.7972)  6 Rh 2.91-3.09, 1 Er 3.24
Er (0.0000, 0.5000, 0.0000)  4 Rh 3.15
Rh (0.2565, 0.7565, 0.5129)  6 Y 2.87-3.08, 2 Er 2.91
Rh (0.7435, 0.2435, 0.4871)  6 Y 2.87-3.08, 2 Er 2.91
Rh (0.5000, 0.7870, 0.0000)  2 Y 2.78, 4 Er 3.09
Rh (0.5000, 0.2130, 0.0000)  2 Y 2.78, 4 Er 3.09

Results
The theoretical density is 8.09 g cm⁻³. The electronic total energy comes out at -6.90 eV per atom.

Record 2
Ti2CrN3 | PBE | relaxed

Lattice parameters (Å, degrees): 6.1510 6.1510 6.1510 153.34 146.41 43.39
Closest atoms and distances in Å follow each position.
Atoms (fractional coordinates):
Ti (0.3454, 0.3454, 0.0000)  1 N 2.00
Ti (0.6546, 0.6546, 0.0000)  1 N 2.00
Cr (0.0000, 0.0000, 0.0000)  4 N 1.78-1.95
N (0.5000, 0.0000, 0.5000)  2 Cr 1.78
N (0.1706, 0.1706, 0.0000)  1 Cr 1.95, 1 Ti 2.00
N (0.8294, 0.8294, 0.0000)  1 Cr 1.95, 1 Ti 2.00

Results
The theoretical density is 5.47 g cm⁻³. The electronic total energy comes out at -9.40 eV per atom. The raw formation energy is -1.006 eV per atom.

Record 3
FeIr3C | PBE | relaxed

Lattice parameters (Å, degrees): 4.4193 4.4193 4.4193 90.00 90.00 90.00
Closest atoms and distances in Å follow each position.
Atoms (fractional coordinates):
C (0.5000, 0.5000, 0.5000)  12 Ir 3.12
Ir (0.0000, 0.5000, 0.0000)  2 Fe 2.21
Ir (0.0000, 0.0000, 0.5000)  2 Fe 2.21
Ir (0.5000, 0.0000, 0.0000)  2 Fe 2.21
Fe (0.0000, 0.0000, 0.0000)  6 Ir 2.21

Results
The theoretical density is 12.40 g cm⁻³. The electronic total energy comes out at -6.10 eV per atom. As for the excess energy over the best structure of this formula in the dataset: 2302 meV/atom.

Record 4
TcSbN3 | PBE | relaxed

Lattice parameters (Å, degrees): 3.9920 3.9920 3.9920 90.00 90.00 90.00
Closest atoms and distances in Å follow each position.
Atoms (fractional coordinates):
Sb (0.0000, 0.0000, 0.0000)  6 N 2.00
Tc (0.5000, 0.5000, 0.5000)  12 N 2.82
N (0.0000, 0.5000, 0.0000)  2 Sb 2.00
N (0.0000, 0.0000, 0.5000)  2 Sb 2.00
N (0.5000, 0.0000, 0.0000)  2 Sb 2.00

Results
The theoretical density is 6.83 g cm⁻³. The electronic total energy comes out at -6.09 eV per atom. The raw formation energy is 1.800 eV per atom.

Record 5
Na2AsS4 | PBE | relaxed

Lattice parameters (Å, degrees): 3.6234 6.4601 7.6804 116.71 103.64 90.00
Closest atoms and distances in Å follow each position.
Atoms (fractional coordinates):
Na (0.7024, 0.6755, 0.4049)  5 S 2.82-2.85
Na (0.2976, 0.3245, 0.5951)  5 S 2.82-2.85
As (0.0000, 0.0000, 0.0000)  6 S 2.54-2.63
S (0.9459, 0.3342, 0.8918)  1 S 2.00
S (0.0541, 0.6658, 0.1082)  1 S 2.00
S (0.6328, 0.1881, 0.2657)  2 As 2.54, 3 Na 2.82-2.85
S (0.3672, 0.8119, 0.7343)  2 As 2.54, 3 Na 2.82-2.85

Results
The theoretical density is 2.67 g cm⁻³. The electronic total energy comes out at -3.84 eV per atom. The raw formation energy is -0.443 eV per atom. As for the excess energy over the best structure of this formula in the dataset: 0 meV/atom.

Record 6
Y2Tm3Th | PBE | relaxed

Lattice parameters (Å, degrees): 5.0085 6.1280 18.4097 48.13 82.18 65.88
Closest atoms and distances in Å follow each position.
Atoms (fractional coordinates):
Y (0.8754, 0.3761, 0.8730)  2 Y 3.49-3.58, 8 Tm 3.50-3.57, 2 Th 3.52
Y (0.1246, 0.6239, 0.1270)  2 Y 3.49-3.58, 8 Tm 3.50-3.57, 2 Th 3.52
Y (0.6280, 0.1174, 0.6267)  7 Tm 3.49-3.57, 2 Y 3.49-3.59, 3 Th 3.53-3.54
Y (0.3720, 0.8826, 0.3733)  7 Tm 3.49-3.57, 2 Y 3.49-3.59, 3 Th 3.53-3.54
Tm (0.1233, 0.9619, 0.7915)  5 Y 3.50-3.55, 3 Th 3.51-3.57, 4 Tm 3.52-3.56
Tm (0.8767, 0.0381, 0.2085)  5 Y 3.50-3.55, 3 Th 3.51-3.57, 4 Tm 3.52-3.56
Tm (0.6243, 0.7941, 0.9573)  1 Th 3.51, 6 Tm 3.53-3.56, 5 Y 3.53-3.57
Tm (0.3757, 0.2059, 0.0427)  1 Th 3.51, 6 Tm 3.53-3.56, 5 Y 3.53-3.57
Tm (0.8728, 0.7111, 0.5433)  5 Y 3.49-3.57, 4 Tm 3.51-3.62, 3 Th 3.51-3.56
Tm (0.1272, 0.2889, 0.4567)  5 Y 3.49-3.57, 4 Tm 3.51-3.62, 3 Th 3.51-3.56
Th (0.3772, 0.5368, 0.7088)  7 Tm 3.51-3.57, 5 Y 3.52-3.54
Th (0.6228, 0.4632, 0.2912)  7 Tm 3.51-3.57, 5 Y 3.52-3.54

Results
The theoretical density is 8.09 g cm⁻³. The electronic total energy comes out at -5.59 eV per atom. As for the excess energy over the best structure of this formula in the dataset: 0 meV/atom.

Record 7
Ho2Al5Tc2Ag | PBE | relaxed

Lattice parameters (Å, degrees): 3.4198 10.4371 10.4371 90.00 90.00 90.00
Closest atoms and distances in Å follow each position.
Atoms (fractional coordinates):
Ho (0.0000, 0.6868, 0.1868)  1 Tc 2.80
Ho (0.0000, 0.3132, 0.8132)  1 Tc 2.80
Ho (0.0000, 0.1868, 0.3132)  1 Tc 2.80
Ho (0.0000, 0.8132, 0.6868)  1 Tc 2.80
Al (0.5000, 0.2008, 0.0522)  2 Tc 2.62, 2 Ag 2.76
Al (0.5000, 0.7992, 0.9478)  2 Tc 2.62, 2 Ag 2.76
Al (0.5000, 0.0522, 0.7992)  2 Tc 2.62, 2 Ag 2.76
Al (0.5000, 0.7008, 0.4478)  2 Tc 2.62, 2 Ag 2.76
Al (0.5000, 0.9478, 0.2008)  2 Tc 2.62, 2 Ag 2.76
Al (0.5000, 0.2992, 0.5522)  2 Tc 2.62, 2 Ag 2.76
Al (0.5000, 0.5522, 0.7008)  2 Tc 2.62, 2 Ag 2.76
Al (0.5000, 0.4478, 0.2992)  2 Tc 2.62, 2 Ag 2.76
Al (0.5000, 0.5000, 0.0000)  4 Tc 2.50
Al (0.5000, 0.0000, 0.5000)  4 Tc 2.50
Tc (0.0000, 0.1235, 0.6235)  6 Al 2.50-2.62
Tc (0.0000, 0.8765, 0.3765)  6 Al 2.50-2.62
Tc (0.0000, 0.6235, 0.8765)  6 Al 2.50-2.62
Tc (0.0000, 0.3765, 0.1235)  6 Al 2.50-2.62
Ag (0.0000, 0.0000, 0.0000)  8 Al 2.76
Ag (0.0000, 0.5000, 0.5000)  8 Al 2.76

Results
The theoretical density is 6.85 g cm⁻³. The electronic total energy comes out at -5.36 eV per atom.

Record 8
LuMgZrTl | PBE | relaxed

Lattice parameters (Å, degrees): 5.1153 5.1153 5.1153 60.00 60.00 60.00
Closest atoms and distances in Å follow each position.
Atoms (fractional coordinates):
Tl (0.0000, 0.0000, 0.0000)  4 Zr 3.13, 4 Lu 3.13
Lu (0.2500, 0.2500, 0.2500)  4 Tl 3.13, 4 Mg 3.13
Mg (0.5000, 0.5000, 0.5000)  4 Zr 3.13, 4 Lu 3.13
Zr (0.7500, 0.7500, 0.7500)  4 Mg 3.13, 4 Tl 3.13

Results
The theoretical density is 8.68 g cm⁻³. The electronic total energy comes out at -4.29 eV per atom.

Record 9
K2Cu2SbO6 | PBE | relaxed

Lattice parameters (Å, degrees): 5.3488 5.3488 6.2386 90.00 90.00 120.00
Closest atoms and distances in Å follow each position.
Atoms (fractional coordinates):
K (0.6667, 0.3333, 0.4999)  6 O 2.74
K (0.3333, 0.6667, 0.5001)  6 O 2.74
Cu (0.3333, 0.6667, 0.0000)  6 O 2.10
Cu (0.6667, 0.3333, 0.0000)  6 O 2.10
Sb (0.0000, 0.0000, 0.0000)  6 O 2.03
O (0.0000, 0.3234, 0.8295)  1 Sb 2.03, 2 Cu 2.10
O (0.6766, 0.6766, 0.8295)  1 Sb 2.03, 2 Cu 2.10
O (0.3234, 0.0000, 0.8295)  1 Sb 2.03, 2 Cu 2.10
O (0.0000, 0.6766, 0.1705)  1 Sb 2.03, 2 Cu 2.10
O (0.3234, 0.3234, 0.1705)  1 Sb 2.03, 2 Cu 2.10
O (0.6766, 0.0000, 0.1705)  1 Sb 2.03, 2 Cu 2.10

Results
The theoretical density is 4.54 g cm⁻³. The electronic total energy comes out at -5.14 eV per atom. The raw formation energy is -1.116 eV per atom.

Record 10
La2SmDy9 | PBE | relaxed

Lattice parameters (Å, degrees): 3.4973 11.3758 11.3758 120.00 90.00 90.00
Closest atoms and distances in Å follow each position.
Atoms (fractional coordinates):
La (0.0000, 0.3333, 0.6667)  9 Dy 3.28-3.62, 2 La 3.50
La (0.0000, 0.6667, 0.3333)  9 Dy 3.28-3.62, 2 La 3.50
Sm (0.0000, 0.0000, 0.0000)  2 Sm 3.50, 12 Dy 3.82
Dy (0.0000, 0.0000, 0.5000)  2 La 3.28, 10 Dy 3.50-3.67
Dy (0.0000, 0.5000, 0.5000)  2 La 3.28, 10 Dy 3.50-3.67
Dy (0.0000, 0.5000, 0.0000)  2 La 3.28, 10 Dy 3.50-3.67
Dy (0.5000, 0.3448, 0.1724)  8 Dy 3.40-3.67, 2 La 3.62
Dy (0.5000, 0.1724, 0.8276)  8 Dy 3.40-3.67, 2 La 3.62
Dy (0.5000, 0.1724, 0.3448)  8 Dy 3.40-3.67, 2 La 3.62
Dy (0.5000, 0.8276, 0.6552)  8 Dy 3.40-3.67, 2 La 3.62
Dy (0.5000, 0.8276, 0.1724)  8 Dy 3.40-3.67, 2 La 3.62
Dy (0.5000, 0.6552, 0.8276)  8 Dy 3.40-3.67, 2 La 3.62

Results
The theoretical density is 8.01 g cm⁻³. The electronic total energy comes out at -4.58 eV per atom. As for the excess energy over the best structure of this formula in the dataset: 55 meV/atom.

Record 11
Nd6Co2NCl3 | PBE | relaxed

Lattice parameters (Å, degrees): 6.7414 6.7414 7.7576 98.27 98.27 120.00
Closest atoms and distances in Å follow each position.
Atoms (fractional coordinates):
Nd (0.9356, 0.6175, 0.8067)  1 N 2.58, 2 Co 2.71
Nd (0.7460, 0.7460, 0.1929)  1 N 2.58, 2 Co 2.71
Nd (0.0644, 0.3825, 0.1933)  1 N 2.58, 2 Co 2.71
Nd (0.6175, 0.9356, 0.8067)  1 N 2.58, 2 Co 2.71
Nd (0.2540, 0.2540, 0.8071)  1 N 2.58, 2 Co 2.71
Nd (0.3825, 0.0644, 0.1933)  1 N 2.58, 2 Co 2.71
Co (0.3332, 0.6668, 0.0000)  6 Nd 2.71
Co (0.6668, 0.3332, 0.0000)  6 Nd 2.71
N (0.0000, 0.0000, 0.0000)  6 Nd 2.58
Cl (0.1658, 0.8342, 0.5000)  6 Nd 3.16-3.28
Cl (0.8342, 0.1658, 0.5000)  6 Nd 3.16-3.28
Cl (0.5000, 0.5000, 0.5000)  6 Nd 3.17-3.27

Results
The theoretical density is 6.27 g cm⁻³. The electronic total energy comes out at -5.76 eV per atom. The raw formation energy is -1.039 eV per atom.

Record 12
In2GeRuI | PBE | relaxed

Lattice parameters (Å, degrees): 5.3623 5.3623 4.7140 90.00 90.00 90.00
Closest atoms and distances in Å follow each position.
Atoms (fractional coordinates):
I (0.5000, 0.5000, 0.5000)  8 In 3.57, 4 Ge 3.79
Ru (0.0000, 0.0000, 0.0000)  2 Ge 2.36
Ge (0.0000, 0.0000, 0.5000)  2 Ru 2.36
In (0.0000, 0.5000, 0.0000)  2 Ru 2.68
In (0.5000, 0.0000, 0.0000)  2 Ru 2.68

Results
The theoretical density is 6.50 g cm⁻³. The electronic total energy comes out at -4.30 eV per atom. The raw formation energy is -0.119 eV per atom.